Below is a geometry-optimized K2HoAs2O6 structure, with properties calculated at the GGA-PBE level.

Output
Its uncorrected formation energy is -1937.9 meV/atom. The space group is No. 12. The value obtained for the electronic total energy is -67.138 eV/cell. Its total magnetization is 1.016 μB per formula unit. The value obtained for the calculated volume is 17.3 Å³ per atom. The calculation puts the calculated density at 4.256 Mg/m³.

Cell and atoms, written as extended XYZ:
```
11
Lattice="-5.744 -1.558 -0.518 4.214 -3.894 -0.570 -1.101 1.772 6.884" Properties=species:S:1:pos:R:3 pbc="T T T"
O -0.531 -4.367 0.846
O -2.851 -2.060 3.356
O -5.130 -0.135 4.677
O -2.100 0.687 4.950
O 0.220 -1.621 2.440
O 2.500 -3.545 1.119
Ho -3.423 0.107 3.183
As -2.565 -3.454 4.387
As -0.066 -0.226 1.409
K -0.125 -1.263 5.191
K -2.506 -2.417 0.605
```

Below is a geometry-optimized KHoAs2Pd4 structure, with properties calculated at the GGA-PBE level.

Output
Its formation energy is -424 kJ/mol of formula units. The space group is No. 123. The value obtained for the electronic total energy is -40.143 eV/cell. Its total magnetization is 0.000 μB per formula unit. The value obtained for the calculated volume is 22.6 Å³ per atom. The calculation puts the calculated density at 7.166 Mg/m³.

Cell and atoms, written as extended XYZ:
```
8
Lattice="-0.072 4.035 0.690 -1.048 0.649 -3.904 -10.416 -0.645 2.690" Properties=species:S:1:pos:R:3 pbc="T T T"
Pd -2.016 1.895 0.856
Pd -8.960 -0.198 0.226
Pd -8.472 1.495 2.523
Pd -2.504 0.202 -1.441
As -7.664 1.902 0.227
As -3.872 2.137 -0.752
K -5.208 -0.322 1.345
Ho 0.000 0.000 0.000
```

Below is a geometry-optimized K2HoAsS4 structure, with properties calculated at the GGA-PBE level.

Output
Its uncorrected formation energy is -1152.9 meV/atom. The space group is No. 74. The value obtained for the electronic total energy is -74.310 eV/cell. Its total magnetization is 0.000 μB per formula unit. The value obtained for the calculated volume is 24.5 Å³ per atom. The calculation puts the calculated density at 3.782 Mg/m³.

Cell and atoms, written as extended XYZ:
```
16
Lattice="-0.574 1.251 -8.098 7.717 -2.649 -0.955 -5.555 -4.721 3.869" Properties=species:S:1:pos:R:3 pbc="T T T"
Ho 0.507 -2.434 -6.641
Ho 3.858 -1.325 -0.477
K 3.571 -0.699 -4.527
K -0.287 0.625 -4.049
K -2.777 -2.360 1.935
K -3.064 -1.735 -2.114
S -1.067 -2.332 -4.375
S 1.684 -0.584 -2.018
S 0.213 -6.305 1.416
S -0.666 -2.581 -0.381
S 2.655 -3.787 -0.808
S 1.375 0.187 -6.600
S -0.096 -5.535 -3.165
S 2.254 -3.538 -4.803
As 0.794 -3.059 -2.592
As -6.128 -3.470 -4.229
```

Below is a geometry-optimized K2HoAs2S6 structure, with properties calculated at the GGA-PBE level.

Output
Its uncorrected formation energy is -828.2 meV/atom. The space group is No. 12. The value obtained for the electronic total energy is -49.947 eV/cell. Its total magnetization is 0.000 μB per formula unit. The value obtained for the calculated volume is 27.9 Å³ per atom. The calculation puts the calculated density at 3.162 Mg/m³.

Cell and atoms, written as extended XYZ:
```
11
Lattice="7.109 0.000 0.000 -3.554 5.857 -0.200 0.000 -3.589 7.506" Properties=species:S:1:pos:R:3 pbc="T T T"
K 0.000 0.554 6.077
K 3.554 1.713 1.229
S 1.743 4.436 1.444
S 5.298 -2.168 5.862
S 0.000 1.445 3.020
S -1.743 4.436 1.444
S 1.811 -2.168 5.862
S 3.554 0.823 4.286
Ho 3.554 -1.795 3.753
As 0.000 -0.118 1.436
As 3.554 2.386 5.870
```

Below is a geometry-optimized La3HoAs4 structure, with properties calculated at the GGA-PBE level.

Output
Its formation energy is -1194 kJ/mol of formula units. The space group is No. 13. The value obtained for the electronic total energy is -100.661 eV/cell. Its total magnetization is 0.000 μB per formula unit. The value obtained for the calculated volume is 28.3 Å³ per atom. The calculation puts the calculated density at 6.463 Mg/m³.

Cell and atoms, written as extended XYZ:
```
16
Lattice="7.464 0.066 0.000 -2.553 7.010 0.000 0.000 0.000 8.628" Properties=species:S:1:pos:R:3 pbc="T T T"
La 0.589 3.521 7.560
La 1.866 0.017 5.411
La 4.321 3.555 5.412
La 4.321 3.555 1.068
La 0.589 3.521 3.216
La 5.598 0.050 3.217
As -0.606 1.680 1.029
As 6.795 1.788 5.437
As 1.848 5.322 5.437
As -1.884 5.288 3.190
As 3.063 1.755 3.190
As 5.517 5.396 7.598
As 1.785 5.363 1.029
As 3.126 1.713 7.598
Ho 1.866 0.017 1.065
Ho 5.598 0.050 7.563
```

Below is a geometry-optimized LaHoAs2 structure, with properties calculated at the GGA-PBE level.

Output
As for the energy above the most stable polymorph in this dataset: 0.1650 eV/atom. Its formation energy is -531 kJ/mol of formula units. The space group is No. 160. The value obtained for the electronic total energy is -24.303 eV/cell. Its total magnetization is 0.000 μB per formula unit. The value obtained for the calculated volume is 27.5 Å³ per atom. The calculation puts the calculated density at 6.845 Mg/m³.

Cell and atoms, written as extended XYZ:
```
4
Lattice="4.198 0.000 0.000 2.099 3.635 0.000 2.099 1.212 7.213" Properties=species:S:1:pos:R:3 pbc="T T T"
Ho 4.198 2.423 3.647
La 6.296 3.635 7.155
As 2.099 1.212 1.888
As 2.099 1.212 5.342
```

Below is a geometry-optimized LaHo3As4 structure, with properties calculated at the GGA-PBE level.

Output
Its formation energy is -1175 kJ/mol of formula units. The space group is No. 65. The value obtained for the electronic total energy is -49.435 eV/cell. Its total magnetization is 0.000 μB per formula unit. The value obtained for the calculated volume is 25.7 Å³ per atom. The calculation puts the calculated density at 7.545 Mg/m³.

Cell and atoms, written as extended XYZ:
```
8
Lattice="4.173 -0.052 0.071 0.053 6.935 2.023 -0.117 0.401 7.212" Properties=species:S:1:pos:R:3 pbc="T T T"
As 2.012 1.974 5.906
As 2.097 5.311 3.400
As 4.155 1.719 2.431
As 4.126 5.515 6.946
Ho 4.056 0.349 7.283
Ho 2.028 0.175 3.642
Ho 4.141 3.617 4.689
La 1.996 3.843 8.259
```

Below is a geometry-optimized LaHo2As3 structure, with properties calculated at the GGA-PBE level.

Output
Its formation energy is -880 kJ/mol of formula units. The space group is No. 71. The value obtained for the electronic total energy is -37.153 eV/cell. Its total magnetization is 0.000 μB per formula unit. The value obtained for the calculated volume is 26.1 Å³ per atom. The calculation puts the calculated density at 7.343 Mg/m³.

Cell and atoms, written as extended XYZ:
```
6
Lattice="-1.273 3.995 -0.107 -5.655 -1.811 -0.343 3.069 -1.050 6.500" Properties=species:S:1:pos:R:3 pbc="T T T"
La -2.827 -0.906 -0.172
As 0.000 0.000 0.000
As -0.257 0.027 4.085
As -3.602 1.106 1.965
Ho -3.091 -0.878 4.024
Ho -0.767 2.011 2.025
```